Run i
Here is a relaxed DyYIr crystal from Alexandria. Energies are from PBE.

Geometry as POSCAR:
```
DyYIr
1.0
-2.505 -3.322 2.414
-0.569 -4.401 -1.855
2.266 -3.754 1.976
Y Ir Dy
1 1 1
Cartesian
0.000 0.000 0.000 Y
-0.202 -2.869 0.634 Ir
-0.404 -5.739 1.268 Dy
```

Computed properties:
- Space-group type: F-43m
- Volume: 26.23 Å³/atom
- Total magnetization: 0.00 μB/f.u.
- Crystal system: cubic

=====

Run ii
Here is a relaxed DyYIr crystal from Alexandria. Energies are from PBE.

Geometry as POSCAR:
```
DyYIr
1.0
6.467 0.000 0.000
0.000 6.981 -0.021
0.000 0.041 7.665
Dy Y Ir
4 4 4
Cartesian
1.533 4.029 0.836 Dy
1.701 4.050 4.668 Dy
4.934 2.993 6.808 Dy
4.766 2.972 2.976 Dy
4.776 6.464 4.654 Y
4.925 6.443 0.821 Y
1.691 0.558 2.990 Y
1.542 0.579 6.823 Y
3.244 1.780 4.974 Ir
0.011 5.263 6.502 Ir
3.223 5.242 2.670 Ir
6.457 1.760 1.142 Ir
```

Computed properties:
- Space-group type: P2_1/c
- Volume: 28.84 Å³/atom
- Total magnetization: 0.00 μB/f.u.
- Crystal system: monoclinic

=====

Run iii
Here is a relaxed DyYIr crystal from Alexandria. Energies are from PBE.

Geometry as POSCAR:
```
DyYIr
1.0
-4.464 -0.826 1.589
1.023 -4.679 0.444
2.088 1.083 6.378
Dy Ir Y
2 2 2
Cartesian
-1.708 -0.144 2.389 Dy
0.355 -4.278 6.023 Dy
0.000 0.000 0.000 Ir
-0.677 -2.211 4.206 Ir
-3.429 -2.897 3.405 Y
2.075 -1.525 5.006 Y
```

Computed properties:
- Space-group type: C2/c
- Volume: 26.22 Å³/atom
- Total magnetization: 0.00 μB/f.u.
- Crystal system: monoclinic

=====

Run iv
Here is a relaxed DyYIr crystal from Alexandria. Energies are from PBE.

Geometry as POSCAR:
```
DyYIr
1.0
3.473 0.000 0.000
0.000 3.473 0.000
-1.737 -1.737 6.378
Y Ir Dy
1 1 1
Cartesian
0.000 0.000 3.762 Y
1.737 1.737 2.112 Ir
0.000 0.000 0.504 Dy
```

Computed properties:
- Space-group type: I4mm
- Volume: 25.65 Å³/atom
- Total magnetization: 0.00 μB/f.u.
- Crystal system: tetragonal

=====

Most stable structure - run iii; separation to the second - 7 meV/atom.

=====

Run i
Here is a relaxed Dy8Zn2Ir crystal from Alexandria. Energies are from PBE.

Geometry as POSCAR:
```
Dy8Zn2Ir
1.0
-4.398 -2.969 3.030
-0.956 -2.758 -8.257
6.967 -0.697 5.261
Dy Zn Ir
8 2 1
Cartesian
-2.129 -3.128 -0.467 Dy
-0.249 -2.639 2.740 Dy
1.100 -1.324 -0.443 Dy
1.100 -4.047 5.624 Dy
-3.747 -5.307 -2.647 Dy
0.946 -4.755 0.170 Dy
2.176 -3.658 -2.843 Dy
3.999 -3.184 0.267 Dy
-0.804 -3.603 -3.047 Zn
2.684 -2.695 2.905 Zn
-1.206 -0.865 0.838 Ir
```

Computed properties:
- Space-group type: Cm
- Volume: 27.75 Å³/atom
- Total magnetization: 0.00 μB/f.u.
- Crystal system: monoclinic

=====

Run ii
Here is a relaxed Dy8Zn2Ir crystal from Alexandria. Energies are from PBE.

Geometry as POSCAR:
```
Dy8Zn2Ir
1.0
5.097 0.000 0.000
0.000 6.707 0.263
-2.548 -2.557 8.384
Dy Zn Ir
8 2 1
Cartesian
0.000 1.687 7.035 Dy
2.548 5.661 2.908 Dy
2.548 3.049 5.173 Dy
2.548 -0.972 7.975 Dy
0.000 1.101 3.474 Dy
0.000 -1.512 5.739 Dy
2.548 2.463 1.612 Dy
0.000 5.122 0.672 Dy
2.548 0.214 5.280 Zn
0.000 3.935 3.367 Zn
2.548 0.000 0.000 Ir
```

Computed properties:
- Space-group type: C2/m
- Volume: 26.36 Å³/atom
- Total magnetization: 0.00 μB/f.u.
- Crystal system: monoclinic

=====

Most stable structure - run ii; separation to the second - 69 meV/atom.